The following is a DFT calculation (GGA-PBE) of CsOsNO2 after structural relaxation.

Theoretical density ... 6.93 g/cm³
Volume ... 17.68 Å³ per atom
Uncorrected formation energy ... 2.580 eV/atom

CIF file:
```
data_CsOsNO2
_chemical_formula_sum 'Cs1 Os1 N1 O2'
_cell_length_a 4.382
_cell_length_b 4.382
_cell_length_c 4.604
_cell_angle_alpha 90.00
_cell_angle_beta 90.00
_cell_angle_gamma 90.00
_space_group_name_H-M_alt 'P 1'
_space_group_IT_number 1
loop_
_space_group_symop_operation_xyz
'x,y,z'
loop_
_atom_site_label
_atom_site_type_symbol
_atom_site_fract_x
_atom_site_fract_y
_atom_site_fract_z
Cs1 Cs 0.000 0.000 0.000
Os1 Os 0.500 0.500 0.500
N1 N 0.000 0.000 0.500
O1 O 0.000 0.500 0.000
O2 O 0.500 0.000 0.000
```